VASP calculation (GGA-PBE) on a relaxed structure of Pr5Nd5Tm2.

Structure (POSCAR):
```
Pr5Nd5Tm2
1.0
5.0641 0.0000 1.0821
2.2320 7.6503 1.9452
0.3047 0.6497 10.9644
Pr Nd Tm
5 5 2
Cartesian
1.3657 1.6254 5.9990
6.2350 6.6747 7.9927
3.1717 6.1997 9.9381
0.0000 0.0000 0.0000
4.4291 2.1004 4.0535
3.3657 1.1515 9.0299
4.2350 7.1486 4.9618
3.8004 4.1500 6.9958
5.1693 5.7413 12.9799
2.4315 2.5587 1.0117
5.7975 3.6719 10.0400
1.8032 4.6282 3.9516
```

## Properties
Energy relative to the elements ... 17 meV per atom
Crystal system ... monoclinic
Symmetry ... No. 12
Calculated total energy ... -4.7067 eV per atom